# 1
## NaNb3Os (GGA-PBE)

Data for a geometry-optimized NaNb3Os structure.

The total energy comes out at -7.5092 eV/atom. Its energy above the lowest structure with this stoichiometry is 0.000 eV/atom. The formation energy is 1.0424 eV per atom.

It has space group Pm-3m (No. 221), with a = 4.938 Å, b = 4.938 Å, c = 4.938 Å, α = 90.00°, β = 90.00° and γ = 90.00°. The asymmetric unit holds Na at (0.000, 0.000, 0.000), Nb at (0.000, 0.500, 0.500) and Os at (0.500, 0.500, 0.500).



# 2
## CaCe4Pb4 (GGA-PBE)

Data for a geometry-optimized CaCe4Pb4 structure.

The total energy comes out at -4.6838 eV/atom. The formation energy is -0.1760 eV per atom.

It has space group P4_2/n (No. 86, origin choice 2), with a = 9.309 Å, b = 9.309 Å, c = 6.690 Å, α = 90.00°, β = 90.00° and γ = 90.00°. The asymmetric unit holds Ca at (0.250, 0.250, 0.250), Ce at (0.017, 0.633, 0.095) and Pb at (0.043, 0.651, 0.588).



# 3
## SrCdOs2 (GGA-PBE)

Data for a geometry-optimized SrCdOs2 structure.

The total energy comes out at -5.3009 eV/atom. The formation energy is 0.9632 eV per atom.

It has space group F-43m (No. 216), with a = 6.759 Å, b = 6.759 Å, c = 6.759 Å, α = 90.00°, β = 90.00° and γ = 90.00°. The asymmetric unit holds Sr at (0.000, 0.000, 0.000), Cd at (0.250, 0.250, 0.750), Os at (0.000, 0.000, 0.500) and Os at (0.250, 0.250, 0.250).



# 4
## ScAl4Tc (GGA-PBE)

Data for a geometry-optimized ScAl4Tc structure.

The total energy comes out at -5.5070 eV/atom. Its energy above the lowest structure with this stoichiometry is 0.066 eV/atom. The formation energy is -0.2291 eV per atom.

It has space group F-43m (No. 216), with a = 7.270 Å, b = 7.270 Å, c = 7.270 Å, α = 90.00°, β = 90.00° and γ = 90.00°. The asymmetric unit holds Sc at (0.000, 0.000, 0.000), Al at (0.125, 0.125, 0.375) and Tc at (0.250, 0.250, 0.750).



# 5
## CrPICl2 (GGA-PBE)

Data for a geometry-optimized CrPICl2 structure.

The total energy comes out at -3.1312 eV/atom. Its energy above the lowest structure with this stoichiometry is 0.817 eV/atom. Its formation energy without anion corrections is 924 meV/atom.

It has space group P4/mmm (No. 123), with a = 5.411 Å, b = 5.411 Å, c = 5.400 Å, α = 90.00°, β = 90.00° and γ = 90.00°. The asymmetric unit holds Cr at (0.000, 0.000, 0.000), P at (0.500, 0.500, 0.000), I at (0.500, 0.500, 0.500) and Cl at (0.000, 0.500, 0.500).



# 6
## CoHgMo2 (GGA-PBE)

Data for a geometry-optimized CoHgMo2 structure.

The total energy comes out at -6.7791 eV/atom. The formation energy is 0.4883 eV per atom.

It has space group Cm (No. 8), with a = 9.272 Å, b = 2.769 Å, c = 5.024 Å, α = 90.00°, β = 100.56° and γ = 90.00°. The asymmetric unit holds Co at (0.000, 0.000, 0.000), Hg at (0.254, 0.500, 0.272), Mo at (0.017, 0.500, 0.566) and Mo at (0.276, 0.000, 0.791).